[1]
# KHo2CuO4 | Alexandria via LeMat-Bulk | PBE | relaxed
data_KHo2CuO4
_cell_length_a 3.442
_cell_length_b 11.596
_cell_length_c 11.771
_cell_angle_alpha 90.00
_cell_angle_beta 90.00
_cell_angle_gamma 90.00
_space_group_name_H-M_alt 'C m c m'
_space_group_IT_number 63
_space_group_name_Hall '-C 2c 2'
loop_
_atom_site_label
_atom_site_fract_x
_atom_site_fract_y
_atom_site_fract_z
K1 0.000 0.099 0.250
Ho1 0.000 0.367 0.061
Cu1 0.000 0.176 0.750
O1 0.000 0.000 0.000
O2 0.000 0.255 0.597
O3 0.000 0.423 0.250
# - Formation energy (no corrections): -2495 meV per atom
# - Crystal system: orthorhombic


[2]
# CsH2I | Alexandria via LeMat-Bulk | PBE | relaxed
data_CsH2I
_cell_length_a 7.795
_cell_length_b 7.795
_cell_length_c 7.795
_cell_angle_alpha 90.00
_cell_angle_beta 90.00
_cell_angle_gamma 90.00
_space_group_name_H-M_alt 'F m -3 m'
_space_group_IT_number 225
_space_group_name_Hall '-F 4 2 3'
loop_
_atom_site_label
_atom_site_fract_x
_atom_site_fract_y
_atom_site_fract_z
Cs1 0.000 0.000 0.000
H1 0.250 0.250 0.250
I1 0.000 0.000 0.500
# - Distance to the lowest polymorph of the same formula: 1.083 eV/atom
# - N(E_F): 0.0000 states/eV/atom
# - Crystal system: cubic


[3]
# Fe2OsSe | Alexandria via LeMat-Bulk | PBE | relaxed
data_Fe2OsSe
_cell_length_a 2.7776
_cell_length_b 2.7776
_cell_length_c 24.0594
_cell_angle_alpha 90.00
_cell_angle_beta 90.00
_cell_angle_gamma 120.00
_space_group_name_H-M_alt 'R -3 m'
_space_group_IT_number 166
_space_group_name_Hall '-R 3 2"'
loop_
_atom_site_label
_atom_site_fract_x
_atom_site_fract_y
_atom_site_fract_z
Fe1 0.0000 0.0000 0.2478
Os1 0.0000 0.0000 0.0000
Se1 0.0000 0.0000 0.5000
# - N(E_F): 0.8234 states/eV/atom
# - Formation energy (no corrections): 328 meV per atom
# - Crystal system: trigonal


[4]
# NiMoIr2 | Alexandria via LeMat-Bulk | PBE | relaxed
data_NiMoIr2
_cell_length_a 6.106
_cell_length_b 6.106
_cell_length_c 6.106
_cell_angle_alpha 90.00
_cell_angle_beta 90.00
_cell_angle_gamma 90.00
_space_group_name_H-M_alt 'F m -3 m'
_space_group_IT_number 225
_space_group_name_Hall '-F 4 2 3'
loop_
_atom_site_label
_atom_site_fract_x
_atom_site_fract_y
_atom_site_fract_z
Ni1 0.000 0.000 0.000
Mo1 0.000 0.000 0.500
Ir1 0.250 0.250 0.250
# - Distance to the lowest polymorph of the same formula: 0.319 eV/atom
# - N(E_F): 0.7961 states/eV/atom
# - Crystal system: cubic


[5]
# VHCl | Alexandria via LeMat-Bulk | PBE | relaxed
data_VHCl
_cell_length_a 4.384
_cell_length_b 3.487
_cell_length_c 5.988
_cell_angle_alpha 90.00
_cell_angle_beta 110.62
_cell_angle_gamma 90.00
_space_group_name_H-M_alt 'P 1 21/m 1'
_space_group_IT_number 11
_space_group_name_Hall '-P 2yb'
loop_
_atom_site_label
_atom_site_fract_x
_atom_site_fract_y
_atom_site_fract_z
V1 0.077 0.250 0.150
H1 0.180 0.750 0.139
Cl1 0.340 0.750 0.691
# - N(E_F): 0.3896 states/eV/atom
# - Raw total energy: -5.153 eV/atom
# - Crystal system: monoclinic


[6]
# KNa2AlH6 | Alexandria via LeMat-Bulk | PBE | relaxed
data_KNa2AlH6
_cell_length_a 6.527
_cell_length_b 4.501
_cell_length_c 11.075
_cell_angle_alpha 90.00
_cell_angle_beta 94.74
_cell_angle_gamma 90.00
_space_group_name_H-M_alt 'P 1 21 1'
_space_group_IT_number 4
_space_group_name_Hall 'P 2yb'
loop_
_atom_site_label
_atom_site_fract_x
_atom_site_fract_y
_atom_site_fract_z
K1 0.135 0.000 0.281
Na1 0.327 0.364 0.948
Na2 0.341 0.942 0.715
Al1 0.397 0.475 0.508
H1 0.088 0.717 0.032
H2 0.114 0.098 0.828
H3 0.119 0.803 0.977
H4 0.194 0.489 0.407
H5 0.286 0.467 0.639
H6 0.455 0.209 0.128
# - Distance to the lowest polymorph of the same formula: 0.123 eV/atom
# - Crystal system: monoclinic


Number 1: ρ 7.02 Mg/m³. Number 2: ρ 3.67 Mg/m³. Number 3: ρ 11.80 Mg/m³. Number 4: ρ 15.73 Mg/m³. Number 5: ρ 3.39 Mg/m³. Number 6: ρ 1.21 Mg/m³.